# MgGaIBr4

A relaxed structure of MgGaIBr4 (PBE-GGA, Alexandria via LeMat-Bulk).

Lattice parameters (Å, degrees): 20.095 7.708 8.569 90.00 96.35 90.00
Space group C2/m (No. 12)
One atom of each set of equivalent atoms:
Mg1 0.082 0.000 0.093 [4 per cell]
Ga1 0.122 0.500 0.290 [4 per cell]
I1 0.036 0.000 0.777 [4 per cell]
Br1 0.007 0.500 0.254 [4 per cell]
Br2 0.166 0.254 0.146 [8 per cell]
Br3 0.178 0.500 0.538 [4 per cell]

Results
Total moment: 0.0 Bohr magnetons per cell
Uncorrected formation energy: -966 meV per atom
Uncorrected energy: -2.803 eV/atom
Mass density: 2.72 g/cm³